Material: SnSe2O
Method: DFT, PBE
State: relaxed

mass density = 5.05 Mg/m³
V = 24.06 Å³ per atom
ΔE_f (raw) = 0.109 eV/atom
energy = -3.87 eV per atom
ΔE to the lowest computed polymorph = 183.6 meV per atom

a = 5.394 Å, b = 5.394 Å, c = 13.232 Å
α = 90.00°, β = 90.00°, γ = 90.00°
Space group I-42d (No. 122)
Asymmetric unit:
Sn 0.000 0.000 0.000 (multiplicity 4)
Se 0.113 0.250 0.625 (multiplicity 8)
O 0.000 0.000 0.500 (multiplicity 4)

---

Material: Sn2SeO
Method: DFT, PBE
State: relaxed

mass density = 6.39 Mg/m³
V = 21.60 Å³ per atom
ΔE_f (raw) = -0.572 eV/atom
energy = -4.68 eV per atom
ΔE to the lowest computed polymorph = 0.0 meV per atom

a = 3.9585 Å, b = 3.9585 Å, c = 19.0923 Å
α = 90.00°, β = 90.00°, γ = 120.00°
Space group R-3m (No. 166, hexagonal axes)
Asymmetric unit:
Sn 0.0000 0.0000 0.2339 (multiplicity 6)
Se 0.0000 0.0000 0.0000 (multiplicity 3)
O 0.0000 0.0000 0.5000 (multiplicity 3)

---

Material: Sn3Se3O
Method: DFT, PBE
State: relaxed

mass density = 5.56 Mg/m³
V = 25.98 Å³ per atom
ΔE_f (raw) = -0.537 eV/atom
energy = -4.45 eV per atom

a = 8.160 Å, b = 11.545 Å, c = 7.724 Å
α = 90.00°, β = 91.78°, γ = 90.00°
Space group C2/m (No. 12)
Asymmetric unit:
Sn 0.091 0.000 0.272 (multiplicity 4)
Sn 0.229 0.336 0.254 (multiplicity 8)
Se 0.000 0.166 0.000 (multiplicity 4)
Se 0.000 0.255 0.500 (multiplicity 4)
Se 0.027 0.500 0.850 (multiplicity 4)
O 0.167 0.000 0.660 (multiplicity 4)

---

Material: SnSeO3
Method: DFT, PBE
State: relaxed

mass density = 6.25 Mg/m³
V = 13.06 Å³ per atom
ΔE_f (raw) = -0.368 eV/atom
energy = -4.84 eV per atom

a = 4.027 Å, b = 4.027 Å, c = 4.027 Å
α = 90.00°, β = 90.00°, γ = 90.00°
Space group Pm-3m (No. 221)
Asymmetric unit:
Sn 0.000 0.000 0.000 (multiplicity 1)
Se 0.500 0.500 0.500 (multiplicity 1)
O 0.000 0.000 0.500 (multiplicity 3)

---

Material: SnSe2O
Method: DFT, PBE
State: relaxed

mass density = 6.73 Mg/m³
V = 18.06 Å³ per atom
ΔE_f (raw) = 0.426 eV/atom
energy = -3.56 eV per atom
ΔE to the lowest computed polymorph = 500.4 meV per atom

a = 6.611 Å, b = 6.611 Å, c = 6.611 Å
α = 90.00°, β = 90.00°, γ = 90.00°
Space group Fm-3m (No. 225)
Asymmetric unit:
Sn 0.000 0.000 0.000 (multiplicity 4)
Se 0.250 0.250 0.250 (multiplicity 8)
O 0.000 0.000 0.500 (multiplicity 4)

---

Material: Sn2SeO
Method: DFT, PBE
State: relaxed

mass density = 5.15 Mg/m³
V = 26.77 Å³ per atom
ΔE_f (raw) = -0.524 eV/atom
energy = -4.64 eV per atom
ΔE to the lowest computed polymorph = 47.5 meV per atom

a = 5.662 Å, b = 5.662 Å, c = 13.359 Å
α = 90.00°, β = 90.00°, γ = 90.00°
Space group I-42d (No. 122)
Asymmetric unit:
Sn 0.158 0.250 0.125 (multiplicity 8)
Se 0.000 0.000 0.500 (multiplicity 4)
O 0.000 0.000 0.000 (multiplicity 4)

---

Q: Which of these has the lowest energy?
A: SnSeO3